w) RbZrAl | PBE | relaxed

Results
The calculation puts the calculated volume at 217.49 Å³/cell.

Structure (CIF):
```
data_RbZrAl
_chemical_formula_sum 'Rb2 Zr2 Al2'
_symmetry_space_group_name_H-M 'P 1'
_symmetry_Int_Tables_number 1
_symmetry_space_group_name_Hall 'P 1'
_cell_length_a 3.3943
_cell_length_b 5.2708
_cell_length_c 12.9790
_cell_angle_alpha 95.79
_cell_angle_beta 94.29
_cell_angle_gamma 108.64
loop_
_atom_site_label
_atom_site_fract_x
_atom_site_fract_y
_atom_site_fract_z
Rb1 0.0000 0.0000 0.0000
Rb2 0.1197 0.6103 0.3424
Zr1 0.7201 0.6523 0.6330
Zr2 0.9673 0.1772 0.5738
Al1 0.1960 0.5054 0.8035
Al2 0.4678 0.0814 0.7467
```


x) RbZrAl | PBE | relaxed

Results
The calculation puts the calculated volume at 414.68 Å³/cell.

Structure (CIF):
```
data_RbZrAl
_chemical_formula_sum 'Rb4 Zr4 Al4'
_symmetry_space_group_name_H-M 'P n m a'
_symmetry_Int_Tables_number 62
_symmetry_space_group_name_Hall '-P 2ac 2n'
_cell_length_a 14.2635
_cell_length_b 5.5154
_cell_length_c 5.2711
_cell_angle_alpha 90.00
_cell_angle_beta 90.00
_cell_angle_gamma 90.00
loop_
_atom_site_label
_atom_site_fract_x
_atom_site_fract_y
_atom_site_fract_z
Rb1 0.2372 0.2500 0.0229
Zr1 0.0051 0.2500 0.5003
Al1 0.0000 0.0000 0.0000
```


What should be chosen as the most stable of them? Choose w).


w) RbZrAl3 | PBE | relaxed

Results
The calculation puts the calculated volume at 163.43 Å³/cell.

Structure (CIF):
```
data_RbZrAl3
_chemical_formula_sum 'Rb1 Zr1 Al3'
_symmetry_space_group_name_H-M 'P m -3 m'
_symmetry_Int_Tables_number 221
_symmetry_space_group_name_Hall '-P 4 2 3'
_cell_length_a 5.4673
_cell_length_b 5.4673
_cell_length_c 5.4673
_cell_angle_alpha 90.00
_cell_angle_beta 90.00
_cell_angle_gamma 90.00
loop_
_atom_site_label
_atom_site_fract_x
_atom_site_fract_y
_atom_site_fract_z
Rb1 0.0000 0.0000 0.0000
Zr1 0.5000 0.5000 0.5000
Al1 0.0000 0.5000 0.5000
```


x) RbZrAl3 | PBE | relaxed

Results
The calculation puts the calculated volume at 140.27 Å³/cell.

Structure (CIF):
```
data_RbZrAl3
_chemical_formula_sum 'Rb1 Zr1 Al3'
_symmetry_space_group_name_H-M 'P m -3 m'
_symmetry_Int_Tables_number 221
_symmetry_space_group_name_Hall '-P 4 2 3'
_cell_length_a 5.1959
_cell_length_b 5.1959
_cell_length_c 5.1959
_cell_angle_alpha 90.00
_cell_angle_beta 90.00
_cell_angle_gamma 90.00
loop_
_atom_site_label
_atom_site_fract_x
_atom_site_fract_y
_atom_site_fract_z
Rb1 0.0000 0.0000 0.0000
Zr1 0.5000 0.5000 0.5000
Al1 0.0000 0.0000 0.5000
```


What should be chosen as the most stable of them? Choose w).


w) RbZr3Al | PBE | relaxed

Results
The calculation puts the calculated volume at 125.65 Å³/cell.

Structure (CIF):
```
data_RbZr3Al
_chemical_formula_sum 'Rb1 Zr3 Al1'
_symmetry_space_group_name_H-M 'P m -3 m'
_symmetry_Int_Tables_number 221
_symmetry_space_group_name_Hall '-P 4 2 3'
_cell_length_a 5.0086
_cell_length_b 5.0086
_cell_length_c 5.0086
_cell_angle_alpha 90.00
_cell_angle_beta 90.00
_cell_angle_gamma 90.00
loop_
_atom_site_label
_atom_site_fract_x
_atom_site_fract_y
_atom_site_fract_z
Rb1 0.0000 0.0000 0.0000
Zr1 0.0000 0.0000 0.5000
Al1 0.5000 0.5000 0.5000
```


x) RbZr3Al | PBE | relaxed

Results
The calculation puts the calculated volume at 148.48 Å³/cell.

Structure (CIF):
```
data_RbZr3Al
_chemical_formula_sum 'Rb1 Zr3 Al1'
_symmetry_space_group_name_H-M 'P m -3 m'
_symmetry_Int_Tables_number 221
_symmetry_space_group_name_Hall '-P 4 2 3'
_cell_length_a 5.2953
_cell_length_b 5.2953
_cell_length_c 5.2953
_cell_angle_alpha 90.00
_cell_angle_beta 90.00
_cell_angle_gamma 90.00
loop_
_atom_site_label
_atom_site_fract_x
_atom_site_fract_y
_atom_site_fract_z
Rb1 0.0000 0.0000 0.0000
Zr1 0.0000 0.5000 0.5000
Al1 0.5000 0.5000 0.5000
```


What should be chosen as the most stable of them? Choose x).


w) Al4Re3 | PBE | relaxed

Results
The calculation puts the calculated volume at 111.73 Å³/cell.

Structure (CIF):
```
data_Al4Re3
_chemical_formula_sum 'Al4 Re3'
_symmetry_space_group_name_H-M 'P 6/m m m'
_symmetry_Int_Tables_number 191
_symmetry_space_group_name_Hall '-P 6 2'
_cell_length_a 5.1975
_cell_length_b 5.1975
_cell_length_c 4.7757
_cell_angle_alpha 90.00
_cell_angle_beta 90.00
_cell_angle_gamma 120.00
loop_
_atom_site_label
_atom_site_fract_x
_atom_site_fract_y
_atom_site_fract_z
Al1 0.0000 0.0000 0.2484
Al2 0.3333 0.6667 0.0000
Re1 0.0000 0.5000 0.5000
```


x) Al4Re3 | PBE | relaxed

Results
The calculation puts the calculated volume at 202.34 Å³/cell.

Structure (CIF):
```
data_Al4Re3
_chemical_formula_sum 'Al8 Re6'
_symmetry_space_group_name_H-M 'I 4/m m m'
_symmetry_Int_Tables_number 139
_symmetry_space_group_name_Hall '-I 4 2'
_cell_length_a 3.1573
_cell_length_b 3.1573
_cell_length_c 20.2975
_cell_angle_alpha 90.00
_cell_angle_beta 90.00
_cell_angle_gamma 90.00
loop_
_atom_site_label
_atom_site_fract_x
_atom_site_fract_y
_atom_site_fract_z
Al1 0.0000 0.0000 0.0670
Al2 0.0000 0.0000 0.3599
Re1 0.0000 0.0000 0.2123
Re2 0.0000 0.0000 0.5000
```


What should be chosen as the most stable of them? Choose x).


w) AlRe4 | PBE | relaxed

Results
The calculation puts the calculated volume at 180.92 Å³/cell.

Structure (CIF):
```
data_AlRe4
_chemical_formula_sum 'Al2 Re8'
_symmetry_space_group_name_H-M 'I 4/m m m'
_symmetry_Int_Tables_number 139
_symmetry_space_group_name_Hall '-I 4 2'
_cell_length_a 4.0439
_cell_length_b 4.0439
_cell_length_c 11.0633
_cell_angle_alpha 90.00
_cell_angle_beta 90.00
_cell_angle_gamma 90.00
loop_
_atom_site_label
_atom_site_fract_x
_atom_site_fract_y
_atom_site_fract_z
Al1 0.0000 0.0000 0.0000
Re1 0.0000 0.0000 0.3868
Re2 0.0000 0.5000 0.2500
```


x) AlRe4 | PBE | relaxed

Results
The calculation puts the calculated volume at 82.86 Å³/cell.

Structure (CIF):
```
data_AlRe4
_chemical_formula_sum 'Al1 Re4'
_symmetry_space_group_name_H-M 'P m -3 m'
_symmetry_Int_Tables_number 221
_symmetry_space_group_name_Hall '-P 4 2 3'
_cell_length_a 4.3597
_cell_length_b 4.3597
_cell_length_c 4.3597
_cell_angle_alpha 90.00
_cell_angle_beta 90.00
_cell_angle_gamma 90.00
loop_
_atom_site_label
_atom_site_fract_x
_atom_site_fract_y
_atom_site_fract_z
Al1 0.0000 0.0000 0.0000
Re1 0.0000 0.0000 0.5000
Re2 0.5000 0.5000 0.5000
```


What should be chosen as the most stable of them? Choose w).


w) AlReRh | PBE | relaxed

Results
The calculation puts the calculated volume at 86.10 Å³/cell.

Structure (CIF):
```
data_AlReRh
_chemical_formula_sum 'Al2 Re2 Rh2'
_symmetry_space_group_name_H-M 'I m m 2'
_symmetry_Int_Tables_number 44
_symmetry_space_group_name_Hall 'I 2 -2'
_cell_length_a 2.7587
_cell_length_b 3.7680
_cell_length_c 8.2833
_cell_angle_alpha 90.00
_cell_angle_beta 90.00
_cell_angle_gamma 90.00
loop_
_atom_site_label
_atom_site_fract_x
_atom_site_fract_y
_atom_site_fract_z
Al1 0.0000 0.0000 0.0000
Re1 0.0000 0.0000 0.6677
Rh1 0.0000 0.0000 0.3393
```


x) AlReRh | PBE | relaxed

Results
The calculation puts the calculated volume at 43.35 Å³/cell.

Structure (CIF):
```
data_AlReRh
_chemical_formula_sum 'Al1 Re1 Rh1'
_symmetry_space_group_name_H-M 'P 3 m 1'
_symmetry_Int_Tables_number 156
_symmetry_space_group_name_Hall 'P 3 -2"'
_cell_length_a 2.7763
_cell_length_b 2.7763
_cell_length_c 6.4939
_cell_angle_alpha 90.00
_cell_angle_beta 90.00
_cell_angle_gamma 120.00
loop_
_atom_site_label
_atom_site_fract_x
_atom_site_fract_y
_atom_site_fract_z
Al1 0.0000 0.0000 0.0000
Re1 0.6667 0.3333 0.3428
Rh1 0.3333 0.6667 0.6808
```


y) AlReRh | PBE | relaxed

Results
The calculation puts the calculated volume at 86.05 Å³/cell.

Structure (CIF):
```
data_AlReRh
_chemical_formula_sum 'Al2 Re2 Rh2'
_symmetry_space_group_name_H-M 'I 4 m m'
_symmetry_Int_Tables_number 107
_symmetry_space_group_name_Hall 'I 4 -2'
_cell_length_a 2.7921
_cell_length_b 2.7921
_cell_length_c 11.0379
_cell_angle_alpha 90.00
_cell_angle_beta 90.00
_cell_angle_gamma 90.00
loop_
_atom_site_label
_atom_site_fract_x
_atom_site_fract_y
_atom_site_fract_z
Al1 0.0000 0.0000 0.0000
Re1 0.0000 0.0000 0.3262
Rh1 0.0000 0.0000 0.6625
```


What should be chosen as the most stable of them? Choose y).


w) AlReRh3 | PBE | relaxed

Results
The calculation puts the calculated volume at 83.41 Å³/cell.

Structure (CIF):
```
data_AlReRh3
_chemical_formula_sum 'Al1 Re1 Rh3'
_symmetry_space_group_name_H-M 'P m -3 m'
_symmetry_Int_Tables_number 221
_symmetry_space_group_name_Hall '-P 4 2 3'
_cell_length_a 4.3692
_cell_length_b 4.3692
_cell_length_c 4.3692
_cell_angle_alpha 90.00
_cell_angle_beta 90.00
_cell_angle_gamma 90.00
loop_
_atom_site_label
_atom_site_fract_x
_atom_site_fract_y
_atom_site_fract_z
Al1 0.0000 0.0000 0.0000
Re1 0.5000 0.5000 0.5000
Rh1 0.0000 0.0000 0.5000
```


x) AlReRh3 | PBE | relaxed

Results
The calculation puts the calculated volume at 103.83 Å³/cell.

Structure (CIF):
```
data_AlReRh3
_chemical_formula_sum 'Al1 Re1 Rh3'
_symmetry_space_group_name_H-M 'P m -3 m'
_symmetry_Int_Tables_number 221
_symmetry_space_group_name_Hall '-P 4 2 3'
_cell_length_a 4.7000
_cell_length_b 4.7000
_cell_length_c 4.7000
_cell_angle_alpha 90.00
_cell_angle_beta 90.00
_cell_angle_gamma 90.00
loop_
_atom_site_label
_atom_site_fract_x
_atom_site_fract_y
_atom_site_fract_z
Al1 0.0000 0.0000 0.0000
Re1 0.5000 0.5000 0.5000
Rh1 0.0000 0.5000 0.5000
```


What should be chosen as the most stable of them? Choose w).


w) AlRe2Rh2 | PBE | relaxed

Results
The calculation puts the calculated volume at 155.82 Å³/cell.

Structure (CIF):
```
data_AlRe2Rh2
_chemical_formula_sum 'Al2 Re4 Rh4'
_symmetry_space_group_name_H-M 'P 4/m b m'
_symmetry_Int_Tables_number 127
_symmetry_space_group_name_Hall '-P 4 2ab'
_cell_length_a 7.5602
_cell_length_b 7.5602
_cell_length_c 2.7262
_cell_angle_alpha 90.00
_cell_angle_beta 90.00
_cell_angle_gamma 90.00
loop_
_atom_site_label
_atom_site_fract_x
_atom_site_fract_y
_atom_site_fract_z
Al1 0.0000 0.0000 0.0000
Re1 0.1746 0.3254 0.5000
Rh1 0.1224 0.6224 0.0000
```


x) AlRe2Rh2 | PBE | relaxed

Results
The calculation puts the calculated volume at 168.56 Å³/cell.

Structure (CIF):
```
data_AlRe2Rh2
_chemical_formula_sum 'Al2 Re4 Rh4'
_symmetry_space_group_name_H-M 'I 4/m m m'
_symmetry_Int_Tables_number 139
_symmetry_space_group_name_Hall '-I 4 2'
_cell_length_a 3.8458
_cell_length_b 3.8458
_cell_length_c 11.3971
_cell_angle_alpha 90.00
_cell_angle_beta 90.00
_cell_angle_gamma 90.00
loop_
_atom_site_label
_atom_site_fract_x
_atom_site_fract_y
_atom_site_fract_z
Al1 0.0000 0.0000 0.0000
Re1 0.0000 0.0000 0.3984
Rh1 0.0000 0.5000 0.2500
```


y) AlRe2Rh2 | PBE | relaxed

Results
The calculation puts the calculated volume at 163.93 Å³/cell.

Structure (CIF):
```
data_AlRe2Rh2
_chemical_formula_sum 'Al2 Re4 Rh4'
_symmetry_space_group_name_H-M 'I 4/m m m'
_symmetry_Int_Tables_number 139
_symmetry_space_group_name_Hall '-I 4 2'
_cell_length_a 3.5179
_cell_length_b 3.5179
_cell_length_c 13.2460
_cell_angle_alpha 90.00
_cell_angle_beta 90.00
_cell_angle_gamma 90.00
loop_
_atom_site_label
_atom_site_fract_x
_atom_site_fract_y
_atom_site_fract_z
Al1 0.0000 0.0000 0.0000
Re1 0.0000 0.5000 0.2500
Rh1 0.0000 0.0000 0.4036
```


z) AlRe2Rh2 | PBE | relaxed

Results
The calculation puts the calculated volume at 158.56 Å³/cell.

Structure (CIF):
```
data_AlRe2Rh2
_chemical_formula_sum 'Al2 Re4 Rh4'
_symmetry_space_group_name_H-M 'P 4/m b m'
_symmetry_Int_Tables_number 127
_symmetry_space_group_name_Hall '-P 4 2ab'
_cell_length_a 7.6035
_cell_length_b 7.6035
_cell_length_c 2.7426
_cell_angle_alpha 90.00
_cell_angle_beta 90.00
_cell_angle_gamma 90.00
loop_
_atom_site_label
_atom_site_fract_x
_atom_site_fract_y
_atom_site_fract_z
Al1 0.0000 0.0000 0.0000
Re1 0.1222 0.3778 0.0000
Rh1 0.1693 0.6693 0.5000
```


What should be chosen as the most stable of them? Choose y).